{
  "formula": "SrTlFeO4",
  "functional": "PBE+U",
  "state": "optimized geometry",
  "total_energy_ev_per_cell": -79.7,
  "magnetic_moment_mub_per_fu": 4.99,
  "lattice": [[5.839, 0.000, 0.000], [0.000, 5.933, 0.000], [-2.033, 0.000, 6.477]],
  "species": ["Sr", "Sr", "Tl", "Tl", "Fe", "Fe", "O", "O", "O", "O", "O", "O", "O", "O"],
  "fractional_positions": [[0.240, 0.250, 0.447], [0.760, 0.750, 0.553], [0.317, 0.250, 0.961], [0.683, 0.750, 0.039], [0.219, 0.750, 0.166], [0.781, 0.250, 0.834], [0.000, 0.250, 0.096], [0.000, 0.750, 0.904], [0.021, 0.750, 0.339], [0.465, 0.518, 0.220], [0.465, 0.982, 0.220], [0.535, 0.018, 0.780], [0.535, 0.482, 0.780], [0.979, 0.250, 0.661]]
}